# 1
# PBE-GGA Tb3PmCu, relaxed
data_Tb3PmCu
_symmetry_space_group_name_H-M 'P m -3 m'
_symmetry_Int_Tables_number 221
_symmetry_space_group_name_Hall '-P 4 2 3'
_cell_length_a 5.409
_cell_length_b 5.409
_cell_length_c 5.409
_cell_angle_alpha 90.00
_cell_angle_beta 90.00
_cell_angle_gamma 90.00
loop_
_atom_site_label
_atom_site_fract_x
_atom_site_fract_y
_atom_site_fract_z
Tb1 0.000 0.000 0.500
Pm1 0.500 0.500 0.500
Cu1 0.000 0.000 0.000
# Fermi-level density of states: 6.01 states/eV/f.u.
# formation energy: 0.098 eV/atom

# 2
# PBE-GGA TbPm2Cu, relaxed
data_TbPm2Cu
_symmetry_space_group_name_H-M 'R 3 m'
_symmetry_Int_Tables_number 160
_symmetry_space_group_name_Hall 'R 3 -2"'
_cell_length_a 3.6831
_cell_length_b 3.6831
_cell_length_c 29.8935
_cell_angle_alpha 90.00
_cell_angle_beta 90.00
_cell_angle_gamma 120.00
loop_
_atom_site_label
_atom_site_fract_x
_atom_site_fract_y
_atom_site_fract_z
Tb1 0.0000 0.0000 0.0000
Pm1 0.0000 0.0000 0.5692
Pm2 0.0000 0.0000 0.7648
Cu1 0.0000 0.0000 0.1671
# Fermi-level density of states: 4.98 states/eV/f.u.
# formation energy: 0.062 eV/atom

# 3
# PBE-GGA TbPm2Cu3, relaxed
data_TbPm2Cu3
_symmetry_space_group_name_H-M 'P 4/m m m'
_symmetry_Int_Tables_number 123
_symmetry_space_group_name_Hall '-P 4 2'
_cell_length_a 3.526
_cell_length_b 3.526
_cell_length_c 10.671
_cell_angle_alpha 90.00
_cell_angle_beta 90.00
_cell_angle_gamma 90.00
loop_
_atom_site_label
_atom_site_fract_x
_atom_site_fract_y
_atom_site_fract_z
Tb1 0.000 0.000 0.000
Pm1 0.000 0.000 0.331
Cu1 0.500 0.500 0.158
Cu2 0.500 0.500 0.500
# Fermi-level density of states: 3.30 states/eV/f.u.
# formation energy: -0.192 eV/atom

# 4
# PBE-GGA Tb3Pm4Cu4, relaxed
data_Tb3Pm4Cu4
_symmetry_space_group_name_H-M 'I m m m'
_symmetry_Int_Tables_number 71
_symmetry_space_group_name_Hall '-I 2 2'
_cell_length_a 4.916
_cell_length_b 7.376
_cell_length_c 15.415
_cell_angle_alpha 90.00
_cell_angle_beta 90.00
_cell_angle_gamma 90.00
loop_
_atom_site_label
_atom_site_fract_x
_atom_site_fract_y
_atom_site_fract_z
Tb1 0.000 0.000 0.000
Tb2 0.000 0.500 0.101
Pm1 0.000 0.279 0.329
Cu1 0.000 0.000 0.197
Cu2 0.000 0.165 0.500
# Fermi-level density of states: 8.73 states/eV/f.u.
# formation energy: -0.040 eV/atom

# 5
# PBE-GGA TbPm2Cu, relaxed
data_TbPm2Cu
_symmetry_space_group_name_H-M 'P n m a'
_symmetry_Int_Tables_number 62
_symmetry_space_group_name_Hall '-P 2ac 2n'
_cell_length_a 6.981
_cell_length_b 9.955
_cell_length_c 6.546
_cell_angle_alpha 90.00
_cell_angle_beta 90.00
_cell_angle_gamma 90.00
loop_
_atom_site_label
_atom_site_fract_x
_atom_site_fract_y
_atom_site_fract_z
Tb1 0.024 0.250 0.139
Pm1 0.194 0.059 0.680
Cu1 0.100 0.750 0.446
# Fermi-level density of states: 4.39 states/eV/f.u.
# formation energy: -0.073 eV/atom

# 6
# PBE-GGA Tb2PmCu6, relaxed
data_Tb2PmCu6
_symmetry_space_group_name_H-M 'P 6/m m m'
_symmetry_Int_Tables_number 191
_symmetry_space_group_name_Hall '-P 6 2'
_cell_length_a 7.3588
_cell_length_b 7.3588
_cell_length_c 3.6246
_cell_angle_alpha 90.00
_cell_angle_beta 90.00
_cell_angle_gamma 120.00
loop_
_atom_site_label
_atom_site_fract_x
_atom_site_fract_y
_atom_site_fract_z
Tb1 0.3333 0.6667 0.0000
Pm1 0.0000 0.0000 0.0000
Cu1 0.0000 0.3348 0.5000
# Fermi-level density of states: 3.89 states/eV/f.u.
# formation energy: -0.246 eV/atom

# 7
# PBE-GGA TbPm5Cu6, relaxed
data_TbPm5Cu6
_symmetry_space_group_name_H-M 'C 1 2/m 1'
_symmetry_Int_Tables_number 12
_symmetry_space_group_name_Hall '-C 2y'
_cell_length_a 15.922
_cell_length_b 7.053
_cell_length_c 5.048
_cell_angle_alpha 90.00
_cell_angle_beta 108.34
_cell_angle_gamma 90.00
loop_
_atom_site_label
_atom_site_fract_x
_atom_site_fract_y
_atom_site_fract_z
Tb1 0.000 0.000 0.000
Pm1 0.000 0.500 0.000
Pm2 0.166 0.500 0.666
Pm3 0.167 0.000 0.667
Cu1 0.000 0.240 0.500
Cu2 0.164 0.245 0.163
# Fermi-level density of states: 7.23 states/eV/f.u.
# formation energy: -0.176 eV/atom

# 8
# PBE-GGA Tb2PmCu, relaxed
data_Tb2PmCu
_symmetry_space_group_name_H-M 'P 4/m m m'
_symmetry_Int_Tables_number 123
_symmetry_space_group_name_Hall '-P 4 2'
_cell_length_a 3.538
_cell_length_b 3.538
_cell_length_c 8.682
_cell_angle_alpha 90.00
_cell_angle_beta 90.00
_cell_angle_gamma 90.00
loop_
_atom_site_label
_atom_site_fract_x
_atom_site_fract_y
_atom_site_fract_z
Tb1 0.000 0.000 0.194
Pm1 0.500 0.500 0.500
Cu1 0.500 0.500 0.000
# Fermi-level density of states: 3.92 states/eV/f.u.
# formation energy: -0.096 eV/atom

# 9
# PBE-GGA TbPm2Cu3, relaxed
data_TbPm2Cu3
_symmetry_space_group_name_H-M 'P -3 m 1'
_symmetry_Int_Tables_number 164
_symmetry_space_group_name_Hall '-P 3 2"'
_cell_length_a 5.0141
_cell_length_b 5.0141
_cell_length_c 6.1168
_cell_angle_alpha 90.00
_cell_angle_beta 90.00
_cell_angle_gamma 120.00
loop_
_atom_site_label
_atom_site_fract_x
_atom_site_fract_y
_atom_site_fract_z
Tb1 0.0000 0.0000 0.0000
Pm1 0.3333 0.6667 0.6695
Cu1 0.0000 0.0000 0.5000
Cu2 0.3333 0.6667 0.1592
# Fermi-level density of states: 3.51 states/eV/f.u.
# formation energy: -0.186 eV/atom

# 10
# PBE-GGA Tb2Pm2Cu, relaxed
data_Tb2Pm2Cu
_symmetry_space_group_name_H-M 'I 4/m m m'
_symmetry_Int_Tables_number 139
_symmetry_space_group_name_Hall '-I 4 2'
_cell_length_a 3.552
_cell_length_b 3.552
_cell_length_c 22.738
_cell_angle_alpha 90.00
_cell_angle_beta 90.00
_cell_angle_gamma 90.00
loop_
_atom_site_label
_atom_site_fract_x
_atom_site_fract_y
_atom_site_fract_z
Tb1 0.000 0.000 0.074
Pm1 0.000 0.000 0.308
Cu1 0.000 0.000 0.500
# Fermi-level density of states: 6.56 states/eV/f.u.
# formation energy: -0.068 eV/atom

# 11
# PBE-GGA TbPm2Cu4, relaxed
data_TbPm2Cu4
_symmetry_space_group_name_H-M 'I 4/m m m'
_symmetry_Int_Tables_number 139
_symmetry_space_group_name_Hall '-I 4 2'
_cell_length_a 5.172
_cell_length_b 5.172
_cell_length_c 11.776
_cell_angle_alpha 90.00
_cell_angle_beta 90.00
_cell_angle_gamma 90.00
loop_
_atom_site_label
_atom_site_fract_x
_atom_site_fract_y
_atom_site_fract_z
Tb1 0.000 0.000 0.000
Pm1 0.000 0.000 0.292
Cu1 0.000 0.500 0.110
# Fermi-level density of states: 7.19 states/eV/f.u.
# formation energy: 0.009 eV/atom

# 12
# PBE-GGA Tb2PmCu, relaxed
data_Tb2PmCu
_symmetry_space_group_name_H-M 'R 3 m'
_symmetry_Int_Tables_number 160
_symmetry_space_group_name_Hall 'R 3 -2"'
_cell_length_a 3.6807
_cell_length_b 3.6807
_cell_length_c 29.3891
_cell_angle_alpha 90.00
_cell_angle_beta 90.00
_cell_angle_gamma 120.00
loop_
_atom_site_label
_atom_site_fract_x
_atom_site_fract_y
_atom_site_fract_z
Tb1 0.0000 0.0000 0.0000
Tb2 0.0000 0.0000 0.2011
Pm1 0.0000 0.0000 0.4346
Cu1 0.0000 0.0000 0.6000
# Fermi-level density of states: 5.24 states/eV/f.u.
# formation energy: 0.035 eV/atom

# 13
# PBE-GGA Tb2PmCu, relaxed
data_Tb2PmCu
_symmetry_space_group_name_H-M 'C m c m'
_symmetry_Int_Tables_number 63
_symmetry_space_group_name_Hall '-C 2c 2'
_cell_length_a 4.952
_cell_length_b 11.745
_cell_length_c 7.554
_cell_angle_alpha 90.00
_cell_angle_beta 90.00
_cell_angle_gamma 90.00
loop_
_atom_site_label
_atom_site_fract_x
_atom_site_fract_y
_atom_site_fract_z
Tb1 0.000 0.148 0.030
Pm1 0.000 0.453 0.250
Cu1 0.000 0.299 0.750
# Fermi-level density of states: 5.10 states/eV/f.u.
# formation energy: -0.061 eV/atom

# 14
# PBE-GGA Tb2PmCu, relaxed
data_Tb2PmCu
_symmetry_space_group_name_H-M 'R -3 m'
_symmetry_Int_Tables_number 166
_symmetry_space_group_name_Hall '-R 3 2"'
_cell_length_a 3.6182
_cell_length_b 3.6182
_cell_length_c 30.0202
_cell_angle_alpha 90.00
_cell_angle_beta 90.00
_cell_angle_gamma 120.00
loop_
_atom_site_label
_atom_site_fract_x
_atom_site_fract_y
_atom_site_fract_z
Tb1 0.0000 0.0000 0.2338
Pm1 0.0000 0.0000 0.0000
Cu1 0.0000 0.0000 0.5000
# Fermi-level density of states: 5.25 states/eV/f.u.
# formation energy: 0.033 eV/atom

# 15
# PBE-GGA Tb2PmCu, relaxed
data_Tb2PmCu
_symmetry_space_group_name_H-M 'P n m a'
_symmetry_Int_Tables_number 62
_symmetry_space_group_name_Hall '-P 2ac 2n'
_cell_length_a 6.872
_cell_length_b 9.908
_cell_length_c 6.527
_cell_angle_alpha 90.00
_cell_angle_beta 90.00
_cell_angle_gamma 90.00
loop_
_atom_site_label
_atom_site_fract_x
_atom_site_fract_y
_atom_site_fract_z
Tb1 0.185 0.058 0.179
Pm1 0.012 0.250 0.636
Cu1 0.105 0.750 0.934
# Fermi-level density of states: 4.92 states/eV/f.u.
# formation energy: -0.087 eV/atom

# 16
# PBE-GGA Tb4PmCu, relaxed
data_Tb4PmCu
_symmetry_space_group_name_H-M 'P 4/m m m'
_symmetry_Int_Tables_number 123
_symmetry_space_group_name_Hall '-P 4 2'
_cell_length_a 3.548
_cell_length_b 3.548
_cell_length_c 13.750
_cell_angle_alpha 90.00
_cell_angle_beta 90.00
_cell_angle_gamma 90.00
loop_
_atom_site_label
_atom_site_fract_x
_atom_site_fract_y
_atom_site_fract_z
Tb1 0.000 0.000 0.123
Tb2 0.500 0.500 0.313
Pm1 0.000 0.000 0.500
Cu1 0.500 0.500 0.000
# Fermi-level density of states: 7.89 states/eV/f.u.
# formation energy: -0.051 eV/atom

# 17
# PBE-GGA TbPm2Cu2, relaxed
data_TbPm2Cu2
_symmetry_space_group_name_H-M 'P 1 21/m 1'
_symmetry_Int_Tables_number 11
_symmetry_space_group_name_Hall '-P 2yb'
_cell_length_a 5.536
_cell_length_b 4.475
_cell_length_c 10.690
_cell_angle_alpha 90.00
_cell_angle_beta 96.53
_cell_angle_gamma 90.00
loop_
_atom_site_label
_atom_site_fract_x
_atom_site_fract_y
_atom_site_fract_z
Tb1 0.096 0.250 0.288
Pm1 0.246 0.250 0.954
Pm2 0.397 0.250 0.621
Cu1 0.115 0.750 0.475
Cu2 0.269 0.750 0.143
# Fermi-level density of states: 5.84 states/eV/f.u.
# formation energy: -0.065 eV/atom

# 18
# PBE-GGA TbPm2Cu, relaxed
data_TbPm2Cu
_symmetry_space_group_name_H-M 'P 4/m m m'
_symmetry_Int_Tables_number 123
_symmetry_space_group_name_Hall '-P 4 2'
_cell_length_a 3.600
_cell_length_b 3.600
_cell_length_c 8.672
_cell_angle_alpha 90.00
_cell_angle_beta 90.00
_cell_angle_gamma 90.00
loop_
_atom_site_label
_atom_site_fract_x
_atom_site_fract_y
_atom_site_fract_z
Tb1 0.000 0.000 0.000
Pm1 0.500 0.500 0.299
Cu1 0.000 0.000 0.500
# Fermi-level density of states: 6.11 states/eV/f.u.
# formation energy: -0.052 eV/atom

# 19
# PBE-GGA TbPm2Cu9, relaxed
data_TbPm2Cu9
_symmetry_space_group_name_H-M 'R -3 m'
_symmetry_Int_Tables_number 166
_symmetry_space_group_name_Hall '-R 3 2"'
_cell_length_a 5.1927
_cell_length_b 5.1927
_cell_length_c 25.2965
_cell_angle_alpha 90.00
_cell_angle_beta 90.00
_cell_angle_gamma 120.00
loop_
_atom_site_label
_atom_site_fract_x
_atom_site_fract_y
_atom_site_fract_z
Tb1 0.0000 0.0000 0.0000
Pm1 0.0000 0.0000 0.1412
Cu1 0.0000 0.0000 0.3320
Cu2 0.0000 0.0000 0.5000
Cu3 0.0026 0.5013 0.0803
# Fermi-level density of states: 7.63 states/eV/f.u.
# formation energy: -0.161 eV/atom

# 20
# PBE-GGA Tb4PmCu4, relaxed
data_Tb4PmCu4
_symmetry_space_group_name_H-M 'P 42/n'
_symmetry_Int_Tables_number 86
_cell_length_a 8.772
_cell_length_b 8.772
_cell_length_c 5.873
_cell_angle_alpha 90.00
_cell_angle_beta 90.00
_cell_angle_gamma 90.00
loop_
_symmetry_equiv_pos_as_xyz
'x,y,z'
'-x,-y,-z'
'-y,x+1/2,z+1/2'
'y,-x+1/2,-z+1/2'
'-x+1/2,-y+1/2,z'
'x+1/2,y+1/2,-z'
'y+1/2,-x,z+1/2'
'-y+1/2,x,-z+1/2'
loop_
_atom_site_label
_atom_site_fract_x
_atom_site_fract_y
_atom_site_fract_z
Tb1 0.064 0.661 0.151
Pm1 0.250 0.250 0.250
Cu1 0.027 0.614 0.629
# Fermi-level density of states: 13.19 states/eV/f.u.
# formation energy: -0.022 eV/atom